1.
Entry from the Alexandria database: an optimized crystal structure of BaTl2Cl (PBE).

Cell lengths 6.691, 6.691, 4.140 Å; angles 90.00, 90.00, 125.38 degrees
Atoms (fractional coordinates):
Ba 0.000 0.000 0.000
Tl 0.000 0.500 0.500
Tl 0.500 0.000 0.500
Cl 0.500 0.500 0.000

=====

2.
Entry from the Alexandria database: an optimized crystal structure of BaTl2Cl (PBE).

Cell lengths 4.431, 4.431, 7.459 Å; angles 90.00, 90.00, 90.00 degrees
Atoms (fractional coordinates):
Ba 0.000 0.000 0.000
Tl 0.000 0.000 0.497
Tl 0.500 0.500 0.601
Cl 0.500 0.500 0.057

=====

The winner here is 2, beating the second structure by 212 meV/atom.